A plane-wave DFT calculation with GGA+U was carried out for a geometry-optimized KCr2CuO8 structure.

Output
Space group: R-3, No. 148
Total moment, μB/atom: 0.16

abc: 5.0450 5.0450 8.4729
angles: 72.68 72.68 60.00
Closest atoms and distances in Å follow each position.
Sites, in units of the cell vectors:
O1 0.7508 0.0154 0.8513  1 Cr 1.68
O2 0.1941 0.1941 0.4177  1 Cr 1.63
O3 0.0154 0.3825 0.8513  1 Cr 1.68
O4 0.9846 0.6175 0.1487  1 Cr 1.68
O5 0.2492 0.9846 0.1487  1 Cr 1.68
O6 0.3825 0.7508 0.8513  1 Cr 1.68
O7 0.8059 0.8059 0.5823  1 Cr 1.63
O8 0.6175 0.2492 0.1487  1 Cr 1.68
Cr1 0.2626 0.2626 0.2123  4 O 1.63-1.68
Cr2 0.7374 0.7374 0.7877  4 O 1.63-1.68
Cu1 0.0000 0.0000 0.0000  6 O 1.99
K1 0.5000 0.5000 0.5000  6 O 2.99



A plane-wave DFT calculation with GGA+U was carried out for a geometry-optimized K2CrCuO4 structure.

Output
Space group: I-4, No. 82
Total moment, μB/atom: 0.12

abc: 5.4865 5.4865 5.4865
angles: 98.43 115.26 115.26
Closest atoms and distances in Å follow each position.
Sites, in units of the cell vectors:
O1 0.3488 0.8556 0.7633  1 Cr 1.78, 1 Cu 1.99
O2 0.6512 0.4145 0.5069  1 Cr 1.78, 1 Cu 1.99
O3 0.0924 0.2367 0.5855  1 Cr 1.78, 1 Cu 1.99
O4 0.9076 0.4931 0.1444  1 Cr 1.78, 1 Cu 1.99
K1 0.0000 0.0000 0.0000  8 O 2.90-3.01
K2 0.5000 0.7500 0.2500  4 O 2.67
Cr1 0.0000 0.5000 0.5000  4 O 1.78
Cu1 0.5000 0.2500 0.7500  4 O 1.99



A plane-wave DFT calculation with GGA+U was carried out for a geometry-optimized KCr4Cu3O12 structure.

Output
Space group: Im-3, No. 204
Total moment, μB/atom: 0.50

abc: 6.4105 6.4105 6.4105
angles: 109.47 109.47 109.47
Closest atoms and distances in Å follow each position.
Sites, in units of the cell vectors:
Cr1 0.0000 0.5000 0.0000  6 O 2.00
Cr2 0.5000 0.0000 0.0000  6 O 2.00
Cr3 0.0000 0.0000 0.5000  6 O 2.00
Cr4 0.5000 0.5000 0.5000  6 O 2.00
O1 0.8250 0.5066 0.6815  1 Cu 1.87, 2 Cr 2.00
O2 0.8250 0.1435 0.3185  1 Cu 1.87, 2 Cr 2.00
O3 0.5066 0.6815 0.8250  1 Cu 1.87, 2 Cr 2.00
O4 0.1750 0.8565 0.6815  1 Cu 1.87, 2 Cr 2.00
O5 0.6815 0.1750 0.8565  1 Cu 1.87, 2 Cr 2.00
O6 0.4934 0.3185 0.1750  1 Cu 1.87, 2 Cr 2.00
O7 0.3185 0.8250 0.1435  1 Cu 1.87, 2 Cr 2.00
O8 0.6815 0.8250 0.5066  1 Cu 1.87, 2 Cr 2.00
O9 0.1435 0.3185 0.8250  1 Cu 1.87, 2 Cr 2.00
O10 0.8565 0.6815 0.1750  1 Cu 1.87, 2 Cr 2.00
O11 0.3185 0.1750 0.4934  1 Cu 1.87, 2 Cr 2.00
O12 0.1750 0.4934 0.3185  1 Cu 1.87, 2 Cr 2.00
Cu1 0.0000 0.5000 0.5000  4 O 1.87
Cu2 0.5000 0.0000 0.5000  4 O 1.87
Cu3 0.5000 0.5000 0.0000  4 O 1.87
K1 0.0000 0.0000 0.0000  12 O 2.69



no.,energy (eV/cell)
1,-73.01
2,-44.55
3,-128.04